VASP calculation (PBE with a Hubbard U) on crystalline Mn3GaO6 at its relaxed geometry.

```
Mn3GaO6
1.0
5.2601 0.0000 0.0658
0.0000 5.3263 0.0000
0.1649 0.0000 7.3190
O Ga Mn
12 2 6
direct
0.6606 0.1752 0.9599
0.3868 0.5618 0.7502
0.1606 0.3248 0.4599
0.1830 0.3276 0.0736
0.6132 0.4382 0.2498
0.1132 0.0618 0.7498
0.8868 0.9382 0.2502
0.3394 0.8248 0.0401
0.3170 0.8276 0.4264
0.6830 0.1724 0.5736
0.8170 0.6724 0.9264
0.8394 0.6752 0.5401
0.0000 0.0000 0.0000
0.5000 0.5000 0.5000
0.9992 0.4564 0.7305
0.0008 0.5436 0.2695
0.5000 0.5000 0.0000
0.0000 0.0000 0.5000
0.5008 0.9564 0.7695
0.4992 0.0436 0.2305
```

Computed properties:
space group = P2_1/c
electronic total energy = -140.61 eV for the cell shown
N(E_F) = 2.65 states/eV per cell
calculated volume = 102.50 Å³/f.u.